No. 1
VASP calculation (GGA-PBE) on CsSrAu2 after structural relaxation.

Cell lengths 4.6884, 4.6884, 24.9510 Å; angles 90.00, 90.00, 120.00 degrees
Space group R-3m (No. 166, hexagonal axes)
Inequivalent atoms, fractional coordinates:
Cs 0.0000 0.0000 0.0000 (multiplicity 3)
Sr 0.0000 0.0000 0.5000 (multiplicity 3)
Au 0.0000 0.0000 0.2337 (multiplicity 6)

Properties
For the calculated total energy, the calculation gives -32.70 eV/cell. As for the offset from the most stable computed form: 83 meV per atom.

No. 2
VASP calculation (GGA-PBE) on Cs2SrAu2 after structural relaxation.

Cell lengths 10.0593, 10.0593, 4.0401 Å; angles 90.00, 90.00, 90.00 degrees
Space group P4/mbm (No. 127)
Inequivalent atoms, fractional coordinates:
Cs 0.1284 0.3716 0.0000 (multiplicity 4)
Sr 0.0000 0.0000 0.0000 (multiplicity 2)
Au 0.1764 0.6764 0.5000 (multiplicity 4)

Properties
For the calculated total energy, the calculation gives -20.83 eV/cell.

No. 3
VASP calculation (GGA-PBE) on Cs2Sr2Au after structural relaxation.

Cell lengths 8.5507, 8.5507, 7.9783 Å; angles 90.00, 90.00, 90.00 degrees
Space group P4/mbm (No. 127)
Inequivalent atoms, fractional coordinates:
Cs 0.1839 0.3161 0.0000 (multiplicity 4)
Sr 0.1801 0.6801 0.5000 (multiplicity 4)
Au 0.0000 0.0000 0.5000 (multiplicity 2)

Properties
For the calculated total energy, the calculation gives -17.47 eV/cell.

In kcal/mol of atoms, the calculated formation energy values for the records above are, in order, -10.44, -2.16, -1.78.